A plane-wave DFT calculation with PBE was carried out for crystalline BaCaHg at its relaxed geometry.

* E_tot: -1.666 eV per atom
* magnetization: 0.0 μB per formula unit
* space group: F-43m, No. 216
* energy above the lowest structure with this stoichiometry: 101 meV/atom

Lattice parameters (Å, degrees): 5.624 5.624 5.624 60.00 60.00 60.00
Element x y z (fractional)
Ba1 0.000 0.000 0.000
Ca1 0.500 0.500 0.500
Hg1 0.250 0.250 0.250

---

A plane-wave DFT calculation with PBE was carried out for crystalline Ba2Ca2Hg3 at its relaxed geometry.

* E_tot: -1.646 eV per atom
* magnetization: 0.0 μB per formula unit
* space group: I2_13, No. 199

Lattice parameters (Å, degrees): 8.649 8.649 8.649 109.47 109.47 109.47
Element x y z (fractional)
Ba1 0.000 0.656 0.500
Ba2 0.500 0.000 0.656
Ba3 0.656 0.500 0.000
Ba4 0.844 0.844 0.844
Ca1 0.000 0.138 0.500
Ca2 0.138 0.500 0.000
Ca3 0.362 0.362 0.362
Ca4 0.500 0.000 0.138
Hg1 0.152 0.902 0.250
Hg2 0.250 0.152 0.902
Hg3 0.348 0.598 0.750
Hg4 0.598 0.750 0.348
Hg5 0.750 0.348 0.598
Hg6 0.902 0.250 0.152

---

A plane-wave DFT calculation with PBE was carried out for crystalline BaCa2Hg3 at its relaxed geometry.

* E_tot: -1.660 eV per atom
* magnetization: 0.0 μB per formula unit
* space group: P4/mmm, No. 123

Lattice parameters (Å, degrees): 3.914 3.914 11.831 90.00 90.00 90.00
Element x y z (fractional)
Ba1 0.000 0.000 0.000
Ca1 0.000 0.000 0.345
Ca2 0.000 0.000 0.655
Hg1 0.500 0.500 0.195
Hg2 0.500 0.500 0.500
Hg3 0.500 0.500 0.805

---

A plane-wave DFT calculation with PBE was carried out for crystalline BaCa4Hg at its relaxed geometry.

* E_tot: -1.870 eV per atom
* magnetization: 0.0 μB per formula unit
* space group: P4/mmm, No. 123
* energy above the lowest structure with this stoichiometry: 0 meV/atom

Lattice parameters (Å, degrees): 3.948 3.948 15.372 90.00 90.00 90.00
Element x y z (fractional)
Ba1 0.000 0.000 0.000
Ca1 0.000 0.000 0.386
Ca2 0.000 0.000 0.614
Ca3 0.500 0.500 0.206
Ca4 0.500 0.500 0.794
Hg1 0.500 0.500 0.500

---

A plane-wave DFT calculation with PBE was carried out for crystalline BaCa2Hg at its relaxed geometry.

* E_tot: -1.642 eV per atom
* magnetization: 0.0 μB per formula unit
* space group: I4/mmm, No. 139

Lattice parameters (Å, degrees): 6.945 6.945 6.945 136.35 136.35 63.44
Element x y z (fractional)
Ba1 0.000 0.000 0.000
Ca1 0.250 0.750 0.500
Ca2 0.750 0.250 0.500
Hg1 0.500 0.500 0.000

---

A plane-wave DFT calculation with PBE was carried out for crystalline BaCaHg17 at its relaxed geometry.

* E_tot: -0.631 eV per atom
* magnetization: 0.0 μB per formula unit
* space group: R3m, No. 160

Lattice parameters (Å, degrees): 8.462 8.462 8.462 72.47 72.47 72.47
Element x y z (fractional)
Ba1 0.000 0.000 0.000
Ca1 0.412 0.412 0.412
Hg1 0.002 0.409 0.703
Hg2 0.002 0.703 0.409
Hg3 0.140 0.140 0.484
Hg4 0.140 0.484 0.140
Hg5 0.202 0.714 0.714
Hg6 0.319 0.319 0.843
Hg7 0.319 0.843 0.319
Hg8 0.409 0.002 0.703
Hg9 0.409 0.703 0.002
Hg10 0.484 0.140 0.140
Hg11 0.609 0.609 0.609
Hg12 0.703 0.002 0.409
Hg13 0.703 0.409 0.002
Hg14 0.714 0.202 0.714
Hg15 0.714 0.714 0.202
Hg16 0.803 0.803 0.803
Hg17 0.843 0.319 0.319

---

A plane-wave DFT calculation with PBE was carried out for crystalline BaCa2Hg at its relaxed geometry.

* E_tot: -1.630 eV per atom
* magnetization: 0.0 μB per formula unit
* space group: C2/m, No. 12

Lattice parameters (Å, degrees): 7.337 7.337 3.918 104.19 104.19 120.27
Element x y z (fractional)
Ba1 0.000 0.000 0.000
Ca1 0.000 0.500 0.500
Ca2 0.500 0.000 0.500
Hg1 0.500 0.500 0.000

---

A plane-wave DFT calculation with PBE was carried out for crystalline Ba2Ca3Hg2 at its relaxed geometry.

* E_tot: -1.805 eV per atom
* magnetization: 0.0 μB per formula unit
* space group: C2/m, No. 12

Lattice parameters (Å, degrees): 6.987 6.987 10.299 113.85 113.85 38.17
Element x y z (fractional)
Ba1 0.153 0.153 0.293
Ba2 0.847 0.847 0.707
Ca1 0.373 0.373 0.062
Ca2 0.500 0.500 0.500
Ca3 0.627 0.627 0.938
Hg1 0.146 0.146 0.731
Hg2 0.854 0.854 0.269